BeCrF2 after structural relaxation. Source: Alexandria, functional GGA+U.

abc: 7.5537 7.5537 7.5537
angles: 20.61 20.61 20.61
Fractional coordinates of all 4 atoms:
F 0.1048 0.1048 0.1048
F 0.8952 0.8952 0.8952
Cr 0.5000 0.5000 0.5000
Be 0.0000 0.0000 0.0000

Values from the calculation:
Relative energy among the computed polymorphs = 914 meV per atom
Space group = R-3m, No. 166

BeCrH2F after structural relaxation. Source: Alexandria, functional GGA+U.

abc: 3.0940 5.6404 3.0940
angles: 90.00 90.00 90.00
Fractional coordinates of all 5 atoms:
H 0.5000 0.0000 0.0000
H 0.0000 0.0000 0.5000
Cr 0.0000 0.5000 0.0000
Be 0.0000 0.0000 0.0000
F 0.5000 0.5000 0.5000

Values from the calculation:
Total DFT energy (no corrections) = -4.22 eV/atom
Space group = P4/mmm, No. 123

BeCrIn2F6 after structural relaxation. Source: Alexandria, functional GGA+U.

abc: 6.3629 6.8069 6.3502
angles: 57.08 54.18 57.03
Fractional coordinates of all 10 atoms:
F 0.4619 0.1871 0.1996
F 0.5780 0.6810 0.7887
F 0.1673 0.4837 0.9028
F 0.0930 0.0734 0.2785
F 0.5431 0.0734 0.8286
F 0.0552 0.6802 0.3131
Cr 0.8169 0.8870 0.5520
In 0.5274 0.4747 0.2620
In 0.1031 0.9051 0.8379
Be 0.3157 0.2160 0.0519

Values from the calculation:
Total DFT energy (no corrections) = -5.16 eV/atom
Space group = P1, No. 1

Per-record ρ, g/cm3: 3.52 2.52 3.81
Per-record V, Å³ per atom: 11.686 10.799 17.657